# 1
GdBePO | GGA-PBE | relaxed

- Theoretical density: 4.95 g cm⁻³
- ΔE to the lowest computed polymorph: 5.780 eV/f.u.
- Energy: -41.08 eV for the cell shown

Cell and atoms, written as POSCAR:
```
GdBePO
1.0
-3.1154 2.4089 -0.4093
-2.4077 -2.9135 1.1790
0.9593 2.7129 8.6637
O Be P Gd
2 2 2 2
Cartesian
0.0000 0.0000 0.0000
-2.7615 -0.2523 0.3848
-0.2537 1.2302 9.1703
-1.5485 1.2304 -0.1218
-0.5323 0.4422 6.6539
-1.2699 2.0184 2.3946
-2.2819 1.1041 4.7166
0.4797 1.3565 4.3318
```

=====

# 2
CuSnHgW | GGA-PBE | relaxed

- Theoretical density: 12.90 g cm⁻³
- ΔE to the lowest computed polymorph: 0.000 eV/f.u.
- Energy: -17.86 eV for the cell shown

Cell and atoms, written as POSCAR:
```
CuSnHgW
1.0
0.0000 3.3167 3.3167
3.3167 0.0000 3.3167
3.3167 3.3167 0.0000
Hg Cu W Sn
1 1 1 1
Cartesian
3.3167 3.3167 3.3167
4.9751 4.9751 4.9751
1.6584 1.6584 1.6584
0.0000 0.0000 0.0000
```

=====

# 3
FeCoNiAs | GGA-PBE | relaxed

- Theoretical density: 9.01 g cm⁻³
- ΔE to the lowest computed polymorph: 0.000 eV/f.u.
- Energy: -25.72 eV for the cell shown

Cell and atoms, written as POSCAR:
```
FeCoNiAs
1.0
-1.3390 -1.4513 3.4967
-3.6200 1.0752 1.3659
-3.0011 -2.6678 0.0495
As Fe Co Ni
1 1 1 1
Cartesian
-1.9900 -0.7610 1.2280
0.0000 0.0000 0.0000
-3.9800 -1.5219 2.4561
-5.9700 -2.2829 3.6841
```